{"formula": "Ho6Sb2Te3Pb", "functional": "PBE", "state": "optimized geometry", "raw_formation_energy_ev_per_atom": -1.127, "sg": "C2/m (12)", "crystal_system": "monoclinic", "lattice": [[-3.8863, -1.9098, -0.6590], [4.0265, -7.4669, -2.1058], [0.7248, 0.1837, 9.7488]], "species": ["Ho", "Ho", "Ho", "Ho", "Ho", "Ho", "Te", "Te", "Te", "Sb", "Sb", "Pb"], "frac_coords": [[0.6693, 0.5767, 0.3385], [0.9980, 0.7565, 0.9959], [0.3307, 0.4233, 0.6615], [0.3363, 0.9112, 0.6725], [0.0020, 0.2435, 0.0041], [0.6637, 0.0888, 0.3275], [0.5000, 0.5000, 0.0000], [0.1675, 0.8327, 0.3350], [0.8325, 0.1673, 0.6650], [0.8331, 0.6663, 0.6662], [0.1669, 0.3337, 0.3338], [0.5000, 0.0000, 0.0000]]}



{"formula": "Pm3Pa4Se8", "functional": "PBE", "state": "optimized geometry", "raw_formation_energy_ev_per_atom": -1.492, "sg": "C2/m (12)", "crystal_system": "monoclinic", "lattice": [[7.1433, -0.1556, -3.9168], [-4.6081, 6.7853, -0.2124], [-0.1386, 0.1524, 8.2023]], "species": ["Pm", "Pm", "Pm", "Se", "Se", "Se", "Se", "Se", "Se", "Se", "Se", "Pa", "Pa", "Pa", "Pa"], "frac_coords": [[0.5000, 0.5000, 0.5000], [0.5000, 0.0000, 0.5000], [0.5000, 0.5000, 0.0000], [0.5083, 0.2508, 0.2508], [0.0000, 0.7443, 0.2557], [0.5000, 0.7513, 0.2487], [0.0000, 0.2557, 0.7443], [0.0037, 0.7439, 0.7439], [0.4917, 0.7492, 0.7492], [0.5000, 0.2487, 0.7513], [0.9963, 0.2561, 0.2561], [0.0000, 0.0000, 0.0000], [0.5000, 0.0000, 0.0000], [0.0000, 0.5000, 0.0000], [0.0000, 0.0000, 0.5000]]}



{"formula": "K3NpBr2Cl6", "functional": "PBE", "state": "optimized geometry", "raw_formation_energy_ev_per_atom": -1.616, "sg": "C2/m (12)", "crystal_system": "monoclinic", "lattice": [[-3.4898, -1.4463, 4.6935], [-5.6183, -4.6460, -5.6091], [7.2412, -4.4312, 3.9596]], "species": ["K", "K", "K", "Br", "Br", "Np", "Cl", "Cl", "Cl", "Cl", "Cl", "Cl"], "frac_coords": [[0.5000, 0.0000, 0.5000], [0.5000, 0.5000, 0.5000], [0.0000, 0.5000, 0.0000], [0.1793, 0.6826, 0.3651], [0.8207, 0.3174, 0.6349], [0.5000, 0.0000, 0.0000], [0.2605, 0.1268, 0.2536], [0.7345, 0.8683, 0.1320], [0.7395, 0.8732, 0.7464], [0.2655, 0.7363, 0.8680], [0.7345, 0.2637, 0.1320], [0.2655, 0.1317, 0.8680]]}



{"formula": "K2SbOs", "functional": "PBE", "state": "optimized geometry", "raw_formation_energy_ev_per_atom": 0.373, "sg": "P4mm (99)", "crystal_system": "tetragonal", "lattice": [[3.4731, 0.0000, 0.0000], [0.0000, 3.4731, 0.0000], [0.0000, 0.0000, 10.4297]], "species": ["K", "K", "Sb", "Os"], "frac_coords": [[0.0000, 0.0000, 0.9245], [0.5000, 0.5000, 0.3322], [0.5000, 0.5000, 0.6757], [0.0000, 0.0000, 0.5676]]}



{"formula": "Pm8Si3PI4", "functional": "PBE", "state": "optimized geometry", "raw_formation_energy_ev_per_atom": -1.057, "sg": "R-3m (166)", "crystal_system": "trigonal", "lattice": [[8.5346, 0.0000, 0.0000], [0.0000, 9.1135, 0.4092], [-4.2673, -4.2686, 6.0340]], "species": ["Pm", "Pm", "Pm", "Pm", "Pm", "Pm", "Pm", "Pm", "I", "I", "I", "I", "Si", "Si", "Si", "P"], "frac_coords": [[0.7323, 0.6967, 0.4645], [0.2677, 0.3033, 0.5355], [0.7701, 0.3070, 0.0367], [0.2299, 0.6930, 0.4597], [0.7334, 0.6930, 0.9633], [0.7701, 0.3070, 0.5403], [0.2666, 0.3070, 0.0367], [0.2299, 0.6930, 0.9633], [0.0000, 0.0000, 0.5000], [0.5000, 0.0000, 0.5000], [0.5000, 0.0000, 0.0000], [0.0000, 0.0000, 0.0000], [0.5000, 0.5000, 0.0000], [0.0000, 0.5000, 0.5000], [0.5000, 0.5000, 0.5000], [0.0000, 0.5000, 0.0000]]}



{"formula": "TbPm6Ho3", "functional": "PBE", "state": "optimized geometry", "formation_energy_ev_per_atom": 0.126, "sg": "Cmc2_1 (36)", "crystal_system": "orthorhombic", "lattice": [[-2.2323, 1.4210, 5.8525], [-9.3427, 5.1782, -4.8209], [1.6896, -11.1051, 3.3409]], "species": ["Pm", "Pm", "Pm", "Pm", "Pm", "Pm", "Pm", "Pm", "Pm", "Pm", "Pm", "Pm", "Tb", "Tb", "Ho", "Ho", "Ho", "Ho", "Ho", "Ho"], "frac_coords": [[0.0710, 0.7400, 0.6201], [0.3237, 0.1061, 0.5445], [0.3237, 0.4555, 0.8939], [0.8237, 0.5445, 0.1061], [0.7964, 0.3008, 0.6992], [0.8155, 0.0159, 0.9841], [0.5710, 0.6201, 0.7400], [0.0710, 0.3799, 0.2600], [0.3155, 0.9841, 0.0159], [0.2964, 0.6992, 0.3008], [0.8237, 0.8939, 0.4555], [0.5710, 0.2600, 0.3799], [0.5137, 0.8415, 0.1585], [0.0137, 0.1585, 0.8415], [0.4896, 0.2934, 0.0422], [0.9896, 0.7066, 0.9578], [0.5913, 0.5803, 0.4197], [0.9896, 0.0422, 0.2934], [0.4896, 0.9578, 0.7066], [0.0913, 0.4197, 0.5803]]}



{"formula": "SnPAuO2", "functional": "PBE", "state": "optimized geometry", "raw_formation_energy_ev_per_atom": 0.284, "sg": "P4/mmm (123)", "crystal_system": "tetragonal", "lattice": [[4.0852, 0.0000, 0.0000], [0.0000, 4.0852, 0.0000], [0.0000, 0.0000, 4.9363]], "species": ["P", "O", "O", "Sn", "Au"], "frac_coords": [[0.0000, 0.0000, 0.5000], [0.0000, 0.5000, 0.0000], [0.5000, 0.0000, 0.0000], [0.5000, 0.5000, 0.5000], [0.0000, 0.0000, 0.0000]]}



{"formula": "TbSm5DySc2", "functional": "PBE", "state": "optimized geometry", "formation_energy_ev_per_atom": 0.164, "sg": "Cmc2_1 (36)", "crystal_system": "orthorhombic", "lattice": [[5.6584, 0.0000, 0.0000], [-2.8292, 10.8448, 0.0000], [0.0000, 0.0000, 9.4392]], "species": ["Sc", "Sc", "Sc", "Sc", "Sm", "Sm", "Sm", "Sm", "Sm", "Sm", "Sm", "Sm", "Sm", "Sm", "Tb", "Tb", "Dy", "Dy"], "frac_coords": [[0.1330, 0.2659, 0.7060], [0.8670, 0.7341, 0.2060], [0.1143, 0.2287, 0.3283], [0.8857, 0.7713, 0.8283], [0.0115, 0.0230, 0.0105], [0.6958, 0.3915, 0.2175], [0.6083, 0.2167, 0.5462], [0.9885, 0.9770, 0.5105], [0.4676, 0.9352, 0.7481], [0.3917, 0.7833, 0.0462], [0.3042, 0.6085, 0.7175], [0.2666, 0.5333, 0.3288], [0.7334, 0.4667, 0.8288], [0.5324, 0.0648, 0.2481], [0.1838, 0.3676, 0.0188], [0.8162, 0.6324, 0.5188], [0.4013, 0.8026, 0.4198], [0.5987, 0.1974, 0.9198]]}



Number 1: raw total energy -62.4 eV/f.u., total moment 0.000 Bohr magnetons per cell. Number 2: raw total energy -102.5 eV/f.u., total moment 2.976 Bohr magnetons per cell. Number 3: raw total energy -50.1 eV/f.u., total moment 2.263 Bohr magnetons per cell. Number 4: raw total energy -16.1 eV/f.u., total moment 0.000 Bohr magnetons per cell. Number 5: raw total energy -82.8 eV/f.u., total moment 0.000 Bohr magnetons per cell. Number 6: raw total energy -45.6 eV/f.u., total moment 0.000 Bohr magnetons per cell. Number 7: raw total energy -21.2 eV/f.u., total moment 0.000 Bohr magnetons per cell. Number 8: raw total energy -44.0 eV/f.u., total moment 0.000 Bohr magnetons per cell.